# 1
Computed, not measured: a relaxed structure of RbNbTe2 at the GGA-PBE level of DFT.

formation energy without anion corrections = -0.61 eV/atom

The structure in POSCAR format:
```
RbNbTe2
1.0
1.9510 1.1264 9.0815
-1.9510 1.1264 9.0815
0.0000 -2.2529 9.0815
Rb Nb Te
1 1 2
Direct
0.0000 0.0000 0.0000
0.8330 0.8330 0.8330
0.4358 0.4358 0.4358
0.5635 0.5635 0.5635
```


# 2
Computed, not measured: a relaxed structure of Tb2GaRh3 at the GGA-PBE level of DFT.

formation energy from the elements = -532 meV per atom

The structure in POSCAR format:
```
Tb2GaRh3
1.0
-2.2384 2.6770 4.9240
2.2384 -2.6770 4.9240
2.2384 2.6770 -4.9240
Tb Ga Rh
2 1 3
Direct
0.1856 0.1856 0.0000
0.8144 0.8144 0.0000
0.5000 0.5000 0.0000
0.0000 0.5000 0.5000
0.3659 0.8659 0.5000
0.6341 0.1341 0.5000
```


# 3
Computed, not measured: a relaxed structure of LiSc4Tl at the GGA-PBE level of DFT.

formation energy from the elements = 255 meV per atom

The structure in POSCAR format:
```
LiSc4Tl
1.0
0.0000 4.1962 4.1962
4.1962 0.0000 4.1962
4.1962 4.1962 0.0000
Li Sc Tl
1 4 1
Direct
0.0000 0.0000 0.0000
0.1274 0.6242 0.6242
0.6242 0.1274 0.6242
0.6242 0.6242 0.1274
0.6242 0.6242 0.6242
0.2500 0.2500 0.2500
```


# 4
Computed, not measured: a relaxed structure of Tb2Al4Ag3Au at the GGA-PBE level of DFT.

formation energy from the elements = -406 meV per atom

The structure in POSCAR format:
```
Tb2Al4Ag3Au
1.0
4.3272 0.0000 0.0000
0.0000 4.3272 0.0000
0.0000 0.0000 10.7545
Tb Al Ag Au
2 4 3 1
Direct
0.0000 0.5000 0.2476
0.5000 0.0000 0.7524
0.0000 0.0000 0.5000
0.0000 0.5000 0.8672
0.5000 0.0000 0.1328
0.5000 0.5000 0.5000
0.0000 0.0000 0.0000
0.0000 0.5000 0.6357
0.5000 0.0000 0.3643
0.5000 0.5000 0.0000
```


# 5
Computed, not measured: a relaxed structure of UCu2P2O10 at the GGA-PBE level of DFT.

formation energy without anion corrections = -2.01 eV/atom

The structure in POSCAR format:
```
UCu2P2O10
1.0
7.1725 -2.9063 0.0000
7.1725 2.9063 0.0000
-1.5020 0.0000 4.8627
U Cu P O
1 2 2 10
Direct
0.0000 0.0000 0.0000
0.0000 0.5000 0.5000
0.5000 0.0000 0.5000
0.3522 0.3522 0.0830
0.6478 0.6478 0.9170
0.0935 0.0935 0.3357
0.1953 0.6323 0.1317
0.2810 0.2810 0.7799
0.2877 0.2877 0.2849
0.3677 0.8047 0.8683
0.6323 0.1953 0.1317
0.7123 0.7123 0.7151
0.7190 0.7190 0.2201
0.8047 0.3677 0.8683
0.9065 0.9065 0.6643
```


# 6
Computed, not measured: a relaxed structure of SrCa2Cu2 at the GGA-PBE level of DFT.

formation energy from the elements = -56 meV per atom

The structure in POSCAR format:
```
SrCa2Cu2
1.0
8.0003 0.0000 0.0000
0.0000 8.0003 0.0000
0.0000 0.0000 4.4112
Sr Ca Cu
2 4 4
Direct
0.0000 0.0000 0.0000
0.5000 0.5000 0.0000
0.1626 0.3374 0.5000
0.3374 0.8374 0.5000
0.6626 0.1626 0.5000
0.8374 0.6626 0.5000
0.1105 0.6105 0.0000
0.3895 0.1105 0.0000
0.6105 0.8895 0.0000
0.8895 0.3895 0.0000
```


# 7
Computed, not measured: a relaxed structure of BeCrP at the GGA-PBE level of DFT.

formation energy from the elements = -35 meV per atom

The structure in POSCAR format:
```
BeCrP
1.0
0.0000 2.6177 2.6177
2.6177 0.0000 2.6177
2.6177 2.6177 0.0000
Be Cr P
1 1 1
Direct
0.0000 0.0000 0.0000
0.5000 0.5000 0.5000
0.7500 0.7500 0.7500
```


# 8
Computed, not measured: a relaxed structure of NaDySnIr at the GGA-PBE level of DFT.

formation energy from the elements = -413 meV per atom

The structure in POSCAR format:
```
NaDySnIr
1.0
0.0000 3.4328 3.4328
3.4328 0.0000 3.4328
3.4328 3.4328 0.0000
Na Dy Sn Ir
1 1 1 1
Direct
0.0000 0.0000 0.0000
0.2500 0.2500 0.2500
0.7500 0.7500 0.7500
0.5000 0.5000 0.5000
```


# 9
Computed, not measured: a relaxed structure of Ac6Pm2Nd3 at the GGA-PBE level of DFT.

formation energy from the elements = 179 meV per atom

The structure in POSCAR format:
```
Ac6Pm2Nd3
1.0
3.3435 -5.7990 0.0000
3.3435 5.7990 0.0000
-2.2365 0.0000 11.9989
Ac Pm Nd
6 2 3
Direct
0.0816 0.4140 0.2446
0.2503 0.2503 0.7557
0.4140 0.0816 0.2446
0.5860 0.9184 0.7554
0.7497 0.7497 0.2443
0.9184 0.5860 0.7554
0.3333 0.6667 0.0000
0.6667 0.3333 0.0000
0.1664 0.8336 0.5000
0.5000 0.5000 0.5000
0.8336 0.1664 0.5000
```


# 10
Computed, not measured: a relaxed structure of Rb3Np2CdTe6 at the GGA-PBE level of DFT.

formation energy without anion corrections = -0.78 eV/atom

The structure in POSCAR format:
```
Rb3Np2CdTe6
1.0
3.9577 -6.8538 0.0000
3.9577 6.8538 0.0000
-2.6301 0.0000 8.4881
Rb Np Cd Te
3 2 1 6
Direct
0.0000 0.0000 0.0000
0.3355 0.6645 0.0000
0.6645 0.3355 0.0000
0.1670 0.8330 0.5000
0.8330 0.1670 0.5000
0.5000 0.5000 0.5000
0.0979 0.4343 0.3029
0.2294 0.2294 0.6957
0.4343 0.0979 0.3029
0.5657 0.9022 0.6971
0.7706 0.7706 0.3043
0.9022 0.5657 0.6971
```


# 11
Computed, not measured: a relaxed structure of LiCeMoN3 at the GGA-PBE level of DFT.

formation energy without anion corrections = -0.86 eV/atom

The structure in POSCAR format:
```
LiCeMoN3
1.0
5.7296 0.0000 0.0000
0.0000 3.3449 0.0000
-2.5638 0.0000 7.7492
Li Ce Mo N
2 2 2 6
Direct
0.1291 0.2500 0.4280
0.8709 0.7500 0.5720
0.4858 0.7500 0.7755
0.5142 0.2500 0.2245
0.0320 0.2500 0.8656
0.9680 0.7500 0.1344
0.1938 0.2500 0.6834
0.2361 0.7500 0.9726
0.2833 0.7500 0.3169
0.7167 0.2500 0.6831
0.7639 0.2500 0.0274
0.8062 0.7500 0.3166
```


# 12
Computed, not measured: a relaxed structure of Li3GaPt4 at the GGA-PBE level of DFT.

formation energy from the elements = -658 meV per atom

The structure in POSCAR format:
```
Li3GaPt4
1.0
0.0000 3.0001 5.9552
2.9889 0.0000 5.9552
2.9889 3.0001 0.0000
Li Ga Pt
3 1 4
Direct
0.0000 0.0000 0.0000
0.2474 0.2474 0.7526
0.7526 0.7526 0.2474
0.5000 0.5000 0.5000
0.1274 0.1274 0.3726
0.3726 0.3726 0.1274
0.6274 0.6274 0.8726
0.8726 0.8726 0.6274
```


Number 1: total magnetization 0.00 μB/f.u.. Number 2: total magnetization 0.00 μB/f.u.. Number 3: total magnetization 0.00 μB/f.u.. Number 4: total magnetization 0.00 μB/f.u.. Number 5: total magnetization 1.94 μB/f.u.. Number 6: total magnetization 0.00 μB/f.u.. Number 7: total magnetization 0.38 μB/f.u.. Number 8: total magnetization 0.00 μB/f.u.. Number 9: total magnetization 0.00 μB/f.u.. Number 10: total magnetization 7.00 μB/f.u.. Number 11: total magnetization 0.00 μB/f.u.. Number 12: total magnetization 0.00 μB/f.u..